Record 1
Material: SrSbSe2F
Method: DFT, PBEsol
State: optimized geometry

* SG: P4/nmm, No. 129
* formation energy from raw total energies: -1.726 eV/atom

```
10
Lattice="4.0599 0.0000 0.0000 0.0000 4.0599 0.0000 0.0000 0.0000 14.2818" Properties=species:S:1:pos:R:3 pbc="T T T"
Sr 1.0150 1.0150 1.4245
Sr 3.0449 3.0449 12.8573
Sb 1.0150 1.0150 8.9874
Sb 3.0449 3.0449 5.2944
Se 1.0150 1.0150 5.6265
Se 1.0150 1.0150 11.5304
Se 3.0449 3.0449 2.7515
Se 3.0449 3.0449 8.6553
F 1.0150 3.0449 0.0000
F 3.0449 1.0150 0.0000
```

=====

Record 2
Material: Zn2InSi2
Method: DFT, PBEsol
State: optimized geometry

* distance to the lowest polymorph of the same formula: 0.0 kJ/mol of formula units
* SG: I4/mmm, No. 139
* formation energy from raw total energies: 0.167 eV/atom

```
5
Lattice="-2.0876 2.0876 5.1358 2.0876 -2.0876 5.1358 2.0876 2.0876 -5.1358" Properties=species:S:1:pos:R:3 pbc="T T T"
Zn 2.0876 0.0000 2.5679
Zn 0.0000 2.0876 2.5679
In 0.0000 0.0000 0.0000
Si 0.0000 0.0000 3.9709
Si 0.0000 0.0000 6.3006
```

=====

Record 3
Material: BaTiP2O8
Method: DFT, PBEsol
State: optimized geometry

* SG: C2/m, No. 12
* formation energy from raw total energies: -2.748 eV/atom

```
12
Lattice="4.1673 -2.6020 0.0000 4.1673 2.6020 0.0000 -0.5444 0.0000 7.6871" Properties=species:S:1:pos:R:3 pbc="T T T"
Ba 0.0000 0.0000 0.0000
Ti -0.2722 0.0000 3.8436
P 2.6460 0.0000 5.4604
P 5.1442 0.0000 2.2267
O 1.5309 0.0000 4.3983
O 3.5320 1.2583 5.2293
O 4.2582 1.2583 2.4578
O 2.1405 0.0000 6.8946
O 5.6497 0.0000 0.7925
O 3.5320 -1.2583 5.2293
O 4.2582 -1.2583 2.4578
O 6.2593 0.0000 3.2889
```

=====

Record 4
Material: SrSi2P
Method: DFT, PBEsol
State: optimized geometry

* SG: I4/mmm, No. 139
* formation energy from raw total energies: 0.082 eV/atom

```
4
Lattice="-1.9918 1.9918 4.9397 1.9918 -1.9918 4.9397 1.9918 1.9918 -4.9397" Properties=species:S:1:pos:R:3 pbc="T T T"
Sr 0.0000 0.0000 0.0000
Si 1.9918 0.0000 2.4699
Si 0.0000 1.9918 2.4699
P 0.0000 0.0000 4.9397
```

=====

Record 5
Material: BaAgPt
Method: DFT, PBEsol
State: optimized geometry

* energy of formation from the pure elements: -352 meV per atom
* SG: P-6m2, No. 187

```
3
Lattice="4.5997 0.0000 0.0000 -2.2999 3.9835 0.0000 0.0000 0.0000 4.3185" Properties=species:S:1:pos:R:3 pbc="T T T"
Ba 0.0000 0.0000 0.0000
Ag 2.2999 1.3278 2.1592
Pt 0.0000 2.6557 2.1592
```

=====

Record 6
Material: SrMg6Al
Method: DFT, PBEsol
State: optimized geometry

* energy of formation from the pure elements: 42 meV per atom
* SG: Amm2, No. 38

```
8
Lattice="4.9246 0.0000 0.0000 0.0000 3.1026 6.6096 0.0000 -3.1026 6.6096" Properties=species:S:1:pos:R:3 pbc="T T T"
Sr 0.0000 0.0000 0.0000
Mg 0.0000 -1.4873 9.7219
Mg 0.0000 1.4873 9.7219
Mg 2.4623 -1.5520 4.9507
Mg 2.4623 0.0000 2.2213
Mg 2.4623 0.0000 7.8614
Mg 2.4623 1.5520 4.9507
Al 0.0000 0.0000 5.6156
```